[1]
This record from Alexandria via LeMat-Bulk describes a relaxed PmTh2P3Ir12 crystal. The functional is PBE-GGA.

The structure in extended XYZ format:
```
18
Lattice="-2.208 2.464 6.016 -6.165 -3.002 -0.342 1.821 -5.537 3.627" Properties=species:S:1:pos:R:3 pbc="T T T"
Pm 0.000 0.000 0.000
Th -4.202 -3.897 5.965
Th -2.349 -2.179 3.335
P -1.104 1.232 3.008
P -3.082 -1.501 -0.171
P 0.911 -2.769 1.814
Ir -1.526 -5.131 5.361
Ir -6.267 -2.294 5.873
Ir -4.306 -6.190 4.710
Ir -3.598 -1.017 6.589
Ir -2.379 -3.528 7.805
Ir -5.633 -3.828 3.320
Ir -5.026 -0.945 3.940
Ir -0.284 -3.782 3.428
Ir -2.246 0.114 4.591
Ir -2.954 -5.059 2.711
Ir -4.172 -2.547 1.495
Ir -0.919 -2.248 5.981
```

Computed properties:
The total energy is -8.03 eV per atom. Its space group is No. 166. Its energy of formation is -0.1291 eV/atom. The value obtained for the mass density is 15.61 g/cm³.

---

[2]
This record from Alexandria via LeMat-Bulk describes a relaxed MgTl17In11 crystal. The functional is PBE-GGA.

The structure in extended XYZ format:
```
29
Lattice="-9.676 3.493 1.022 1.982 -1.758 -9.992 1.083 -8.815 5.349" Properties=species:S:1:pos:R:3 pbc="T T T"
Mg -2.642 -0.954 -2.341
Tl -7.286 -1.455 -7.018
Tl -4.885 -1.323 -4.540
Tl -4.240 -4.554 -2.316
Tl -2.252 -5.595 0.284
Tl -0.016 -0.006 -0.015
Tl -0.819 -8.746 -0.333
Tl -1.981 -3.328 -4.585
Tl 1.278 -5.867 -0.001
Tl 0.689 -0.631 -3.581
Tl -0.696 -6.198 -2.873
Tl -3.506 -2.474 -7.651
Tl -8.123 -0.394 -3.290
Tl -5.286 -4.130 1.464
Tl -3.469 1.242 0.348
Tl -2.464 -4.181 3.535
Tl -5.656 -1.673 -1.113
Tl -4.098 -7.270 2.765
In -0.566 -6.941 2.710
In -4.512 0.764 -7.467
In -0.634 -3.216 -1.534
In -7.180 -2.730 4.208
In -5.259 -4.961 4.982
In -7.356 0.856 -0.023
In 0.012 -2.462 -6.985
In 2.120 -8.284 -1.989
In 2.293 -6.997 -4.742
In -2.795 -2.243 0.508
In -6.610 1.709 -5.485
```

Computed properties:
The total energy is -2.47 eV per atom. Its space group is No. 8. Its energy of formation is 0.0077 eV/atom. The value obtained for the mass density is 9.28 g/cm³.

---

[3]
This record from Alexandria via LeMat-Bulk describes a relaxed Tm3CoRu crystal. The functional is PBE-GGA.

The structure in extended XYZ format:
```
10
Lattice="6.285 0.420 0.061 3.538 6.011 -0.059 3.336 2.055 6.132" Properties=species:S:1:pos:R:3 pbc="T T T"
Tm 8.548 4.147 4.742
Tm 6.038 6.214 4.246
Tm 5.364 2.637 4.859
Tm 4.611 4.340 1.391
Tm 7.121 2.273 1.887
Tm 7.795 5.849 1.274
Co 2.961 2.512 0.320
Co 10.198 5.975 5.814
Ru 9.510 6.358 3.419
Ru 3.649 2.129 2.714
```

Computed properties:
The total energy is -6.17 eV per atom. Its space group is No. 2. Its energy of formation is -0.2154 eV/atom. The value obtained for the mass density is 9.96 g/cm³.

---

[4]
This record from Alexandria via LeMat-Bulk describes a relaxed LiPr2Th3Se6 crystal. The functional is PBE-GGA.

The structure in extended XYZ format:
```
12
Lattice="-3.136 2.458 -1.270 -4.997 -3.293 5.966 5.533 5.936 4.712" Properties=species:S:1:pos:R:3 pbc="T T T"
Li -1.568 1.229 -0.635
Pr -2.276 3.783 6.059
Pr -0.323 1.317 3.348
Th -4.066 -0.418 2.348
Th 0.209 5.386 3.024
Th -2.808 -0.285 6.384
Se -1.904 1.883 8.346
Se -3.163 1.684 4.184
Se -0.696 3.218 1.062
Se 1.177 7.558 4.838
Se -3.777 -2.458 4.570
Se 0.563 3.417 5.224
```

Computed properties:
The total energy is -6.17 eV per atom. The value obtained for the formation energy (no corrections) is -1.621 eV/atom. Its space group is No. 12. The value obtained for the mass density is 7.73 g/cm³.

---

[5]
This record from Alexandria via LeMat-Bulk describes a relaxed Na4Ho3TiS8 crystal. The functional is PBE-GGA.

The structure in extended XYZ format:
```
16
Lattice="-3.359 6.322 2.998 -5.599 -4.616 3.462 7.484 -1.470 1.438" Properties=species:S:1:pos:R:3 pbc="T T T"
Na -1.679 3.161 1.499
Na 2.062 2.426 2.218
Na 0.000 0.000 0.000
Na 3.742 -0.735 0.719
Ho -4.479 0.853 3.230
Ho -0.737 0.118 3.949
Ho 0.942 -3.043 2.450
Ti -2.799 -2.308 1.731
S 2.592 -3.312 4.605
S -1.343 -2.539 3.850
S 1.465 -0.382 2.448
S 0.826 0.013 6.182
S -2.300 0.223 1.716
S -2.939 0.618 5.451
S -0.131 2.775 4.048
S -4.066 3.548 3.293
```

Computed properties:
The total energy is -5.44 eV per atom. The value obtained for the formation energy (no corrections) is -1.690 eV/atom. Its space group is No. 166. The value obtained for the mass density is 4.25 g/cm³.

---

[6]
This record from Alexandria via LeMat-Bulk describes a relaxed NbTl2S crystal. The functional is PBE-GGA.

The structure in extended XYZ format:
```
4
Lattice="0.000 3.593 3.593 3.593 0.000 3.593 3.593 3.593 0.000" Properties=species:S:1:pos:R:3 pbc="T T T"
S 0.000 0.000 0.000
Tl 1.796 1.796 1.796
Tl 5.389 5.389 5.389
Nb 3.593 3.593 3.593
```

Computed properties:
The total energy is -3.93 eV per atom. The value obtained for the formation energy (no corrections) is 0.801 eV/atom. Its space group is No. 225. The value obtained for the mass density is 9.56 g/cm³.